ZrS3N after structural relaxation. Source: the Alexandria database, functional GGA-PBE.

Summary:
The calculation puts the relative energy among the computed polymorphs at 0.00 eV per formula unit. As for the formation energy from raw total energies: 0.27 eV/atom. As for the symmetry: No. 221.

CIF file:
```
data_ZrS3N
_cell_length_a 4.166
_cell_length_b 4.166
_cell_length_c 4.166
_cell_angle_alpha 90.00
_cell_angle_beta 90.00
_cell_angle_gamma 90.00
_space_group_name_H-M_alt 'P 1'
_space_group_IT_number 1
loop_
_space_group_symop_operation_xyz
'x,y,z'
loop_
_atom_site_label
_atom_site_fract_x
_atom_site_fract_y
_atom_site_fract_z
S1 0.000 0.500 0.000
S2 0.000 0.000 0.500
S3 0.500 0.000 0.000
Zr1 0.500 0.500 0.500
N1 0.000 0.000 0.000
```



AcMgIn2Pd after structural relaxation. Source: the Alexandria database, functional GGA-PBE.

Summary:
As for the symmetry: No. 44. The formation energy from the elements is -12.55 kcal/mol of atoms.

CIF file:
```
data_AcMgIn2Pd
_cell_length_a 4.341
_cell_length_b 4.649
_cell_length_c 7.137
_cell_angle_alpha 109.01
_cell_angle_beta 107.71
_cell_angle_gamma 90.00
_space_group_name_H-M_alt 'P 1'
_space_group_IT_number 1
loop_
_space_group_symop_operation_xyz
'x,y,z'
loop_
_atom_site_label
_atom_site_fract_x
_atom_site_fract_y
_atom_site_fract_z
Ac1 0.431 0.431 0.862
Mg1 0.198 0.698 0.396
In1 0.705 0.205 0.411
In2 0.046 0.046 0.092
Pd1 0.832 0.832 0.663
```



MnCdHSe2 after structural relaxation. Source: the Alexandria database, functional GGA-PBE.

Summary:
The calculation puts the relative energy among the computed polymorphs at 0.00 eV per formula unit. As for the symmetry: No. 6.

CIF file:
```
data_MnCdHSe2
_cell_length_a 4.130
_cell_length_b 4.361
_cell_length_c 5.992
_cell_angle_alpha 90.00
_cell_angle_beta 87.09
_cell_angle_gamma 90.00
_space_group_name_H-M_alt 'P 1'
_space_group_IT_number 1
loop_
_space_group_symop_operation_xyz
'x,y,z'
loop_
_atom_site_label
_atom_site_fract_x
_atom_site_fract_y
_atom_site_fract_z
Mn1 0.203 0.000 0.366
Cd1 0.785 0.500 0.851
H1 0.902 0.000 0.541
Se1 0.298 0.500 0.564
Se2 0.731 0.000 0.112
```



Cu2Pt2Au7 after structural relaxation. Source: the Alexandria database, functional GGA-PBE.

Summary:
The calculation puts the relative energy among the computed polymorphs at 1.82 eV per formula unit. As for the symmetry: No. 65. The formation energy from the elements is 4.37 kcal/mol of atoms.

CIF file:
```
data_Cu2Pt2Au7
_cell_length_a 5.541
_cell_length_b 7.744
_cell_length_c 5.541
_cell_angle_alpha 90.00
_cell_angle_beta 121.56
_cell_angle_gamma 90.00
_space_group_name_H-M_alt 'P 1'
_space_group_IT_number 1
loop_
_space_group_symop_operation_xyz
'x,y,z'
loop_
_atom_site_label
_atom_site_fract_x
_atom_site_fract_y
_atom_site_fract_z
Cu1 0.760 0.500 0.760
Cu2 0.240 0.500 0.240
Pt1 0.273 0.000 0.727
Pt2 0.727 0.000 0.273
Au1 0.500 0.321 0.000
Au2 0.000 0.679 0.500
Au3 0.500 0.679 0.000
Au4 0.000 0.321 0.500
Au5 0.500 0.211 0.500
Au6 0.000 0.000 0.000
Au7 0.500 0.789 0.500
```



| no. | spin magnetization (μB per atom) | total DFT energy (no corrections) (eV/f.u.) |
| --- | --- | --- |
| 1 | 0.0000 | -27.88 |
| 2 | 0.0000 | -19.09 |
| 3 | 0.8000 | -21.71 |
| 4 | 0.0000 | -41.13 |